A plane-wave DFT calculation with PBEsol was carried out for an optimized crystal structure of Ti6O11.

Summary:
* crystal system: triclinic
* M_tot: 1.67 Bohr magnetons per cell
* density of states at the Fermi level: 16.04 states/eV/cell
* calculated total energy: -9.361 eV per atom

Lattice parameters (Å, degrees): 5.5346 7.1120 9.6826 90.06 100.31 108.57
Space group P-1 (No. 2)
Asymmetric unit:
Ti (0.1781, 0.1930, 0.4349) (multiplicity 2)
Ti (0.1816, 0.6965, 0.4400) (multiplicity 2)
Ti (0.2287, 0.6368, 0.0879) (multiplicity 2)
Ti (0.2300, 0.1402, 0.0820) (multiplicity 2)
Ti (0.3095, 0.5734, 0.7420) (multiplicity 2)
Ti (0.3135, 0.0753, 0.7426) (multiplicity 2)
O (0.0140, 0.9050, 0.3906) (multiplicity 2)
O (0.0571, 0.5706, 0.2571) (multiplicity 2)
O (0.0976, 0.3578, 0.0232) (multiplicity 2)
O (0.1200, 0.0138, 0.8905) (multiplicity 2)
O (0.1858, 0.7987, 0.6454) (multiplicity 2)
O (0.2109, 0.4547, 0.5334) (multiplicity 2)
O (0.3378, 0.2615, 0.2822) (multiplicity 2)
O (0.3620, 0.9212, 0.1513) (multiplicity 2)
O (0.4061, 0.6986, 0.9253) (multiplicity 2)
O (0.4312, 0.3574, 0.7954) (multiplicity 2)
O (0.4721, 0.1700, 0.5653) (multiplicity 2)